1.
This record from Alexandria via LeMat-Bulk describes a geometry-optimized Tb6InGe2Te3 structure. The functional is GGA-PBE.

Summary:
- Raw formation energy: -1.058 eV per atom
- Electronic total energy: -5.156 eV/atom
- M_tot: 0.00 μB/cell

Structure (POSCAR):
```
Tb6InGe2Te3
1.0
9.494 -2.133 0.000
9.494 2.133 0.000
-2.278 0.000 8.477
Tb In Ge Te
6 1 2 3
direct
0.008 0.008 0.256 Tb
0.326 0.326 0.435 Tb
0.332 0.332 0.896 Tb
0.668 0.668 0.104 Tb
0.674 0.674 0.565 Tb
0.992 0.992 0.744 Tb
0.500 0.500 0.000 In
0.167 0.167 0.332 Ge
0.833 0.833 0.668 Ge
0.165 0.165 0.831 Te
0.500 0.500 0.500 Te
0.835 0.835 0.169 Te
```

2.
This record from Alexandria via LeMat-Bulk describes a geometry-optimized In3TcGe structure. The functional is GGA-PBE.

Summary:
- Electronic total energy: -3.479 eV/atom
- ΔE to the lowest computed polymorph: 0.543 eV per atom
- M_tot: 3.43 μB/cell

Structure (POSCAR):
```
In3TcGe
1.0
5.258 0.000 0.000
0.000 5.258 0.000
0.000 0.000 5.258
In Tc Ge
3 1 1
direct
0.000 0.000 0.500 In
0.000 0.500 0.000 In
0.500 0.000 0.000 In
0.500 0.500 0.500 Tc
0.000 0.000 0.000 Ge
```

3.
This record from Alexandria via LeMat-Bulk describes a geometry-optimized In3TcGe structure. The functional is GGA-PBE.

Summary:
- Electronic total energy: -4.022 eV/atom
- ΔE to the lowest computed polymorph: 0.000 eV per atom
- M_tot: 0.68 μB/cell

Structure (POSCAR):
```
In3TcGe
1.0
5.192 0.000 0.000
0.000 5.192 0.000
0.000 0.000 5.192
In Tc Ge
3 1 1
direct
0.000 0.000 0.500 In
0.000 0.500 0.000 In
0.500 0.000 0.000 In
0.000 0.000 0.000 Tc
0.500 0.500 0.500 Ge
```

4.
This record from Alexandria via LeMat-Bulk describes a geometry-optimized InTcGe structure. The functional is GGA-PBE.

Summary:
- Electronic total energy: -5.918 eV/atom
- ΔE to the lowest computed polymorph: 0.012 eV per atom
- M_tot: 0.00 μB/cell

Structure (POSCAR):
```
InTcGe
1.0
5.778 -1.557 0.000
5.778 1.557 0.000
-2.569 0.000 6.310
In Tc Ge
2 2 2
direct
0.083 0.083 0.275 In
0.917 0.917 0.725 In
0.363 0.363 0.023 Tc
0.637 0.637 0.977 Tc
0.168 0.168 0.705 Ge
0.832 0.832 0.295 Ge
```

5.
This record from Alexandria via LeMat-Bulk describes a geometry-optimized In2Tc2Ge structure. The functional is GGA-PBE.

Summary:
- Electronic total energy: -6.091 eV/atom
- M_tot: 0.00 μB/cell

Structure (POSCAR):
```
In2Tc2Ge
1.0
6.474 0.000 0.000
0.000 6.474 0.000
0.000 0.000 4.387
In Tc Ge
4 4 2
direct
0.166 0.334 0.000 In
0.334 0.834 0.000 In
0.666 0.166 0.000 In
0.834 0.666 0.000 In
0.141 0.641 0.500 Tc
0.359 0.141 0.500 Tc
0.641 0.859 0.500 Tc
0.859 0.359 0.500 Tc
0.000 0.000 0.500 Ge
0.500 0.500 0.500 Ge
```

6.
This record from Alexandria via LeMat-Bulk describes a geometry-optimized In2TcGe2 structure. The functional is GGA-PBE.

Summary:
- Electronic total energy: -4.728 eV/atom
- M_tot: 1.37 μB/cell

Structure (POSCAR):
```
In2TcGe2
1.0
6.663 0.000 0.000
0.000 6.663 0.000
0.000 0.000 4.457
In Tc Ge
4 2 4
direct
0.176 0.324 0.000 In
0.324 0.824 0.000 In
0.676 0.176 0.000 In
0.824 0.676 0.000 In
0.000 0.000 0.500 Tc
0.500 0.500 0.500 Tc
0.139 0.639 0.500 Ge
0.361 0.139 0.500 Ge
0.639 0.861 0.500 Ge
0.861 0.361 0.500 Ge
```

7.
This record from Alexandria via LeMat-Bulk describes a geometry-optimized InTcGe structure. The functional is GGA-PBE.

Summary:
- Electronic total energy: -5.734 eV/atom
- ΔE to the lowest computed polymorph: 0.197 eV per atom
- M_tot: 0.00 μB/cell

Structure (POSCAR):
```
InTcGe
1.0
4.254 0.000 0.000
-2.127 3.684 0.000
0.000 0.000 3.515
In Tc Ge
1 1 1
direct
0.000 0.000 0.000 In
0.667 0.333 0.500 Tc
0.333 0.667 0.500 Ge
```

8.
This record from Alexandria via LeMat-Bulk describes a geometry-optimized InTcGe structure. The functional is GGA-PBE.

Summary:
- Electronic total energy: -5.930 eV/atom
- ΔE to the lowest computed polymorph: 0.000 eV per atom
- M_tot: 0.00 μB/cell

Structure (POSCAR):
```
InTcGe
1.0
4.482 -1.520 0.000
4.482 1.520 0.000
-0.935 0.000 8.667
In Tc Ge
2 2 2
direct
0.138 0.138 0.117 In
0.862 0.862 0.883 In
0.362 0.362 0.603 Tc
0.638 0.638 0.397 Tc
0.094 0.094 0.637 Ge
0.906 0.906 0.363 Ge
```